! InGa2NiI (PBE, relaxed); values from VASP
&SYSTEM
  ibrav = 0, nat = 5, ntyp = 4
/
ATOMIC_SPECIES
In 114.82 In.upf
Ga 69.72 Ga.upf
Ni 58.69 Ni.upf
I 126.90 I.upf
CELL_PARAMETERS angstrom
5.938 0.000 0.000
0.000 5.938 0.000
0.000 0.000 6.327
ATOMIC_POSITIONS crystal
In 0.000 0.000 0.000
Ga 0.000 0.500 0.500
Ga 0.500 0.000 0.500
Ni 0.500 0.500 0.000
I 0.000 0.000 0.500
! ρ: 3.27 g/cm3
! symmetry: No. 123
! formation energy from raw total energies: 546 kJ/mol of formula units
! relative energy among the computed polymorphs: 1.3467 eV per atom